Computed, not measured: La12TbHg6 after structural relaxation at the PBE level of DFT.

As for the spin magnetization: 0.0 μB per formula unit. The calculation puts the formation energy at -237 meV/atom. The uncorrected energy is -3.688 eV/atom. As for the density of states at the Fermi level: 25.19 states/eV/f.u.

Unit cell a=8.3869 b=8.3869 c=8.3869 alpha=88.76 beta=88.76 gamma=88.76
Positions (direct):
La 0.0366 0.9284 0.3170
La 0.0716 0.6830 0.9634
La 0.1048 0.4425 0.3461
La 0.3170 0.0366 0.9284
La 0.3461 0.1048 0.4425
La 0.4425 0.3461 0.1048
La 0.5575 0.6539 0.8952
La 0.6539 0.8952 0.5575
La 0.6830 0.9634 0.0716
La 0.8952 0.5575 0.6539
La 0.9284 0.3170 0.0366
La 0.9634 0.0716 0.6830
Tb 0.5000 0.5000 0.5000
Hg 0.2353 0.3796 0.7459
Hg 0.2541 0.7647 0.6204
Hg 0.3796 0.7459 0.2353
Hg 0.6204 0.2541 0.7647
Hg 0.7459 0.2353 0.3796
Hg 0.7647 0.6204 0.2541